Record 1
# Tb3ErTm8 | Alexandria via LeMat-Bulk | PBE-GGA | relaxed
# - ΔE_f (eV per atom) = 0.738
# - density of states at the Fermi level (states/eV per cell) = 24.7
data_Tb3ErTm8
_chemical_formula_sum 'Tb6 Er2 Tm16'
_cell_length_a 7.5866
_cell_length_b 7.5866
_cell_length_c 15.1919
_cell_angle_alpha 90.00
_cell_angle_beta 90.00
_cell_angle_gamma 90.00
_symmetry_space_group_name_H-M 'I 4/m m m'
_symmetry_Int_Tables_number 139
_symmetry_space_group_name_Hall '-I 4 2'
loop_
_atom_site_label
_atom_site_fract_x
_atom_site_fract_y
_atom_site_fract_z
_atom_site_occupancy
Tb1 0.0000 0.0000 0.0000 1
Tb2 0.0000 0.5000 0.2500 1
Er1 0.0000 0.0000 0.5000 1
Tm1 0.2494 0.2494 0.3753 1



Record 2
# Tb2Er3Tm2 | Alexandria via LeMat-Bulk | PBE-GGA | relaxed
# - ΔE_f (eV per atom) = 0.022
# - density of states at the Fermi level (states/eV per cell) = 19.0
data_Tb2Er3Tm2
_chemical_formula_sum 'Tb4 Er6 Tm4'
_cell_length_a 11.0876
_cell_length_b 4.9617
_cell_length_c 7.8452
_cell_angle_alpha 90.00
_cell_angle_beta 98.15
_cell_angle_gamma 90.00
_symmetry_space_group_name_H-M 'C 1 2/m 1'
_symmetry_Int_Tables_number 12
loop_
_symmetry_equiv_pos_as_xyz
'x,y,z'
'-x,-y,-z'
'-x,y,-z'
'x,-y,z'
'x+1/2,y+1/2,z'
'-x+1/2,-y+1/2,-z'
'-x+1/2,y+1/2,-z'
'x+1/2,-y+1/2,z'
loop_
_atom_site_label
_atom_site_fract_x
_atom_site_fract_y
_atom_site_fract_z
_atom_site_occupancy
Tb1 0.2142 0.0000 0.1432 1
Er1 0.0000 0.5000 0.0000 1
Er2 0.1428 0.5000 0.4284 1
Tm1 0.0716 0.0000 0.7131 1



Record 3
# Tb3Er2Tm3 | Alexandria via LeMat-Bulk | PBE-GGA | relaxed
# - ΔE_f (eV per atom) = 0.149
# - density of states at the Fermi level (states/eV per cell) = 58.2
data_Tb3Er2Tm3
_chemical_formula_sum 'Tb12 Er8 Tm12'
_cell_length_a 5.4419
_cell_length_b 11.7093
_cell_length_c 15.8373
_cell_angle_alpha 90.00
_cell_angle_beta 90.00
_cell_angle_gamma 90.00
_symmetry_space_group_name_H-M 'C m c m'
_symmetry_Int_Tables_number 63
_symmetry_space_group_name_Hall '-C 2c 2'
loop_
_atom_site_label
_atom_site_fract_x
_atom_site_fract_y
_atom_site_fract_z
_atom_site_occupancy
Tb1 0.0000 0.0419 0.2500 1
Tb2 0.0000 0.1150 0.5516 1
Er1 0.0000 0.2772 0.1296 1
Tm1 0.0000 0.2368 0.7500 1
Tm2 0.0000 0.4199 0.5893 1



no.,total energy (eV for the cell shown)
1,-90.7
2,-63.5
3,-141.0